[1]
In2NiAu after structural relaxation. Source: Alexandria, functional PBE.

Lattice parameters (Å, degrees): 4.543 4.543 3.570 90.00 90.00 90.00
Fractional coordinates of all 4 atoms:
In1 0.000 0.500 0.000
In2 0.500 0.000 0.000
Ni1 0.000 0.000 0.500
Au1 0.500 0.500 0.500

Computed properties:
Formation energy = -0.0014 eV per atom
Total moment = 0.0 Bohr magnetons per cell
ΔE to the lowest computed polymorph = 0.126 eV/atom

[2]
CaAc8Pb2 after structural relaxation. Source: Alexandria, functional PBE.

Lattice parameters (Å, degrees): 9.800 9.800 6.951 93.96 93.96 44.96
Fractional coordinates of all 11 atoms:
Ca1 0.000 0.000 0.000
Ac1 0.154 0.642 0.603
Ac2 0.212 0.212 0.847
Ac3 0.358 0.846 0.397
Ac4 0.416 0.416 0.111
Ac5 0.584 0.584 0.889
Ac6 0.642 0.154 0.603
Ac7 0.788 0.788 0.153
Ac8 0.846 0.358 0.397
Pb1 0.258 0.258 0.341
Pb2 0.742 0.742 0.659

Computed properties:
Formation energy = -0.1009 eV per atom
Total moment = 0.0 Bohr magnetons per cell